The following is a DFT calculation (GGA-PBE) of a relaxed Tb2ErTl2Cd2 crystal.

As for the electronic total energy: -3.025 eV/atom. The calculation puts the calculated volume at 27.0 Å³/atom. Its density of states at the Fermi level is 14.08 states/eV per cell.

The space group is R-3m (No. 166, hexagonal axes) and the conventional cell measures 5.0063, 5.0063 and 26.1112 Å, with angles of 90.00, 90.00 and 120.00 degrees. Symmetry generates all atoms from Tb at (0.0000, 0.0000, 0.1318), Er at (0.0000, 0.0000, 0.0000), Tl at (0.0000, 0.0000, 0.2716) and Cd at (0.0000, 0.0000, 0.4242).